1.
Compound: Ac4RhN2
Source: Alexandria via LeMat-Bulk
Functional: GGA-PBE
Structure: relaxed

The energy relative to the elements, uncorrected is -0.651 eV per atom. As for the volume: 394.8 Å³/cell. The calculation puts the mass density at 8.74 Mg/m³.

It has space group I-42m (No. 121), with a = 6.8028 Å, b = 6.8028 Å, c = 8.5306 Å, α = 90.00°, β = 90.00° and γ = 90.00°. The asymmetric unit holds Ac at (0.2333, 0.2333, 0.3498), Rh at (0.0000, 0.0000, 0.0000) and N at (0.0000, 0.5000, 0.2500).

=====

2.
Compound: InGe2Rh
Source: Alexandria via LeMat-Bulk
Functional: GGA-PBE
Structure: relaxed

As for the volume: 320.2 Å³/cell. The calculation puts the mass density at 7.53 Mg/m³. The formation energy from the elements comes out at 0.013 eV/atom.

It has space group I-42d (No. 122), with a = 4.3650 Å, b = 4.3650 Å, c = 16.8044 Å, α = 90.00°, β = 90.00° and γ = 90.00°. The asymmetric unit holds In at (0.0000, 0.0000, 0.0000), Ge at (0.1803, 0.2500, 0.6250) and Rh at (0.0000, 0.0000, 0.5000).

=====

3.
Compound: SmPuIr
Source: Alexandria via LeMat-Bulk
Functional: GGA-PBE
Structure: relaxed

As for the volume: 321.6 Å³/cell. The calculation puts the mass density at 12.11 Mg/m³. The formation energy from the elements comes out at -0.390 eV/atom.

It has space group F-43m (No. 216), with a = 6.8513 Å, b = 6.8513 Å, c = 6.8513 Å, α = 90.00°, β = 90.00° and γ = 90.00°. The asymmetric unit holds Sm at (0.0000, 0.0000, 0.0000), Pu at (0.0000, 0.0000, 0.5000) and Ir at (0.2500, 0.2500, 0.7500).

=====

4.
Compound: ThMn4Ga8
Source: Alexandria via LeMat-Bulk
Functional: GGA-PBE
Structure: relaxed

As for the volume: 410.3 Å³/cell. The calculation puts the mass density at 8.17 Mg/m³. The formation energy from the elements comes out at -0.241 eV/atom.

It has space group I4/mmm (No. 139), with a = 8.8758 Å, b = 8.8758 Å, c = 5.2086 Å, α = 90.00°, β = 90.00° and γ = 90.00°. The asymmetric unit holds Th at (0.0000, 0.0000, 0.0000), Mn at (0.2500, 0.2500, 0.2500), Ga at (0.0000, 0.2279, 0.5000) and Ga at (0.0000, 0.3417, 0.0000).